1.
VASP calculation (PBE-GGA) on an optimized crystal structure of TaB2Os.

Output
- Calculated formation energy: 158 meV/atom
- Polymorph energy (0 for the lowest one): 0.00 eV/f.u.
- DOS at the Fermi energy: 0.50 states/eV per atom

a = 3.961 Å, b = 3.961 Å, c = 3.961 Å
α = 60.00°, β = 60.00°, γ = 60.00°
Fractional positions:
Ta 0.000 0.000 0.000
B 0.250 0.250 0.250
B 0.750 0.750 0.750
Os 0.500 0.500 0.500


2.
VASP calculation (PBE-GGA) on an optimized crystal structure of Sr2FeOs.

Output
- Calculated formation energy: 491 meV/atom
- Polymorph energy (0 for the lowest one): 1.08 eV/f.u.
- DOS at the Fermi energy: 0.98 states/eV per atom

a = 3.453 Å, b = 3.453 Å, c = 9.019 Å
α = 90.00°, β = 90.00°, γ = 90.00°
Fractional positions:
Sr 0.000 0.000 0.000
Sr 0.500 0.500 0.417
Fe 0.000 0.000 0.672
Os 0.500 0.500 0.749